[1]
VASP calculation (meta-GGA SCAN) on a PBEsol-optimized structure of HfS2O.

POSCAR file:
```
HfS2O
1.0
-1.895 -1.658 -2.495
-0.118 -3.542 -0.075
-5.852 -1.644 3.020
S Hf O
2 1 1
direct
0.909 0.909 0.272
0.091 0.091 0.728
0.500 0.500 0.500
0.000 0.000 0.000
```

Calculated values
DOS(E_F) ... 0.59 states/eV/cell
M_tot ... 0.0 μB per cell
Space-group type ... R-3m
Raw formation energy ... -0.933 eV/atom
Final energy ... -22.97 eV/atom



[2]
VASP calculation (meta-GGA SCAN) on a PBEsol-optimized structure of K2TeBr.

POSCAR file:
```
K2TeBr
1.0
7.430 0.212 0.359
-2.380 7.042 -0.359
-2.380 -3.729 5.985
K Te Br
4 2 2
direct
0.972 0.597 0.125
0.028 0.153 0.625
0.472 0.875 0.847
0.528 0.375 0.403
0.500 0.750 0.250
0.000 0.000 0.000
0.500 0.250 0.750
0.000 0.500 0.500
```

Calculated values
DOS(E_F) ... 2.95 states/eV/cell
M_tot ... 2.0 μB per cell
Space-group type ... I-42d
Raw formation energy ... -1.140 eV/atom
Final energy ... -19.48 eV/atom



[3]
VASP calculation (meta-GGA SCAN) on a PBEsol-optimized structure of NiAs2P.

POSCAR file:
```
NiAs2P
1.0
-1.995 -1.750 -1.297
0.690 -1.435 -2.488
2.347 -7.605 3.285
As Ni P
2 1 1
direct
0.980 0.980 0.059
0.773 0.773 0.682
0.512 0.512 0.465
0.235 0.235 0.294
```

Calculated values
DOS(E_F) ... 1.77 states/eV/cell
M_tot ... 0.0 μB per cell
Space-group type ... R3m
DFT formation energy ... 0.14 eV per atom
Final energy ... -16.60 eV/atom



[4]
VASP calculation (meta-GGA SCAN) on a PBEsol-optimized structure of AlCd2Te.

POSCAR file:
```
AlCd2Te
1.0
3.263 -0.006 0.000
-0.398 3.238 0.000
0.000 0.000 8.617
Te Al Cd
1 1 2
direct
0.500 0.500 0.500
0.500 0.500 0.000
0.000 0.000 0.217
0.000 0.000 0.783
```

Calculated values
DOS(E_F) ... 1.77 states/eV/cell
M_tot ... 0.0 μB per cell
Space-group type ... Cmmm
Raw formation energy ... 0.162 eV/atom
Final energy ... -26.30 eV/atom



[5]
VASP calculation (meta-GGA SCAN) on a PBEsol-optimized structure of Sc5Tl4.

POSCAR file:
```
Sc5Tl4
1.0
6.206 0.000 0.000
0.000 8.681 0.000
0.000 -4.341 7.518
Sc Tl
10 8
direct
0.750 0.000 0.707
0.750 0.707 0.000
0.750 0.293 0.293
0.250 0.000 0.293
0.250 0.293 0.000
0.250 0.707 0.707
0.000 0.333 0.667
0.500 0.667 0.333
0.000 0.667 0.333
0.500 0.333 0.667
0.000 0.000 0.000
0.500 0.000 0.000
0.750 0.000 0.374
0.750 0.374 0.000
0.750 0.626 0.626
0.250 0.000 0.626
0.250 0.626 0.000
0.250 0.374 0.374
```

Calculated values
DOS(E_F) ... 12.20 states/eV/cell
M_tot ... 0.0 μB per cell
Space-group type ... P6_3/mcm
DFT formation energy ... -0.50 eV per atom
Final energy ... -40.57 eV/atom



[6]
VASP calculation (meta-GGA SCAN) on a PBEsol-optimized structure of SrMg2Cr.

POSCAR file:
```
SrMg2Cr
1.0
3.258 0.008 0.000
-1.210 5.979 0.000
-1.024 -2.993 5.346
Cr Mg Sr
1 2 1
direct
0.000 0.500 0.000
0.000 0.000 0.500
0.500 0.500 0.500
0.500 0.000 0.000
```

Calculated values
DOS(E_F) ... 2.76 states/eV/cell
M_tot ... 4.5 μB per cell
Space-group type ... C2/m
DFT formation energy ... 0.38 eV per atom
Final energy ... -12.27 eV/atom



[7]
VASP calculation (meta-GGA SCAN) on a PBEsol-optimized structure of K2PbAu.

POSCAR file:
```
K2PbAu
1.0
-3.258 -1.025 2.921
-1.759 -4.355 -3.490
5.721 -0.563 2.725
Pb K Au
1 2 1
direct
0.444 0.444 0.887
0.031 0.031 0.063
0.228 0.728 0.456
0.797 0.297 0.594
```

Calculated values
DOS(E_F) ... 2.32 states/eV/cell
M_tot ... 0.0 μB per cell
Space-group type ... Imm2
DFT formation energy ... -0.29 eV per atom
Final energy ... -40.69 eV/atom



[8]
VASP calculation (meta-GGA SCAN) on a PBEsol-optimized structure of BaCe2ZnS5.

POSCAR file:
```
BaCe2ZnS5
1.0
7.713 0.000 0.000
-3.856 7.786 0.016
0.000 -3.834 6.693
Ba Ce Zn S
2 4 2 10
direct
0.750 0.500 0.750
0.250 0.500 0.250
0.658 0.000 0.158
0.842 0.000 0.658
0.158 0.000 0.342
0.342 0.000 0.842
0.250 0.500 0.750
0.750 0.500 0.250
0.518 0.732 0.714
0.786 0.268 0.982
0.482 0.268 0.286
0.982 0.268 0.482
0.286 0.268 0.786
0.018 0.732 0.518
0.714 0.732 0.214
0.214 0.732 0.018
0.500 0.000 0.500
0.000 0.000 0.000
```

Calculated values
DOS(E_F) ... 5.57 states/eV/cell
M_tot ... 4.0 μB per cell
Space-group type ... I4/mcm
Raw formation energy ... -2.050 eV/atom
Final energy ... -23.20 eV/atom



[9]
VASP calculation (meta-GGA SCAN) on a PBEsol-optimized structure of DyMnCrO5.

POSCAR file:
```
DyMnCrO5
1.0
5.695 0.000 0.000
0.000 7.092 0.000
0.000 0.000 8.447
Dy Mn Cr O
4 4 4 20
direct
0.500 0.367 0.327
0.500 0.633 0.673
0.500 0.133 0.827
0.500 0.867 0.173
0.000 0.096 0.149
0.000 0.904 0.851
0.000 0.404 0.649
0.000 0.596 0.351
0.249 0.000 0.500
0.751 0.000 0.500
0.751 0.500 0.000
0.249 0.500 0.000
0.500 0.330 0.055
0.500 0.670 0.945
0.500 0.170 0.555
0.500 0.830 0.445
0.257 0.110 0.290
0.743 0.890 0.710
0.257 0.890 0.710
0.743 0.390 0.790
0.743 0.110 0.290
0.257 0.610 0.210
0.743 0.610 0.210
0.257 0.390 0.790
0.223 0.000 0.000
0.777 0.000 0.000
0.777 0.500 0.500
0.223 0.500 0.500
0.000 0.351 0.077
0.000 0.649 0.923
0.000 0.149 0.577
0.000 0.851 0.423
```

Calculated values
DOS(E_F) ... 6.52 states/eV/cell
M_tot ... 24.0 μB per cell
Space-group type ... Pbam
Raw formation energy ... -2.846 eV/atom
Final energy ... -17.29 eV/atom



[10]
VASP calculation (meta-GGA SCAN) on a PBEsol-optimized structure of TaTl2W.

POSCAR file:
```
TaTl2W
1.0
-3.687 -0.068 1.953
1.854 -1.438 3.451
1.562 4.856 -1.340
Ta Tl W
1 2 1
direct
0.250 0.750 0.500
0.000 0.000 0.000
0.750 0.250 0.500
0.500 0.500 0.000
```

Calculated values
DOS(E_F) ... 2.59 states/eV/cell
M_tot ... 0.0 μB per cell
Space-group type ... I-4m2
DFT formation energy ... 0.95 eV per atom
Final energy ... -69.30 eV/atom



[11]
VASP calculation (meta-GGA SCAN) on a PBEsol-optimized structure of ScBeAu3.

POSCAR file:
```
ScBeAu3
1.0
-3.015 2.400 3.181
0.901 -3.475 3.476
3.882 2.671 1.663
Sc Be Au
1 1 3
direct
0.000 0.000 0.000
0.500 0.500 0.500
0.000 0.500 0.000
0.000 0.000 0.500
0.500 0.000 0.000
```

Calculated values
DOS(E_F) ... 1.73 states/eV/cell
M_tot ... 0.0 μB per cell
Space-group type ... Pm-3m
DFT formation energy ... 0.85 eV per atom
Final energy ... -44.36 eV/atom



[12]
VASP calculation (meta-GGA SCAN) on a PBEsol-optimized structure of Tl2TcAu.

POSCAR file:
```
Tl2TcAu
1.0
-2.089 -0.265 -2.273
0.237 -2.266 2.099
-6.350 4.280 5.337
Au Tc Tl
1 1 2
direct
0.500 0.500 0.500
0.500 0.500 0.000
0.000 0.000 0.242
0.000 0.000 0.758
```

Calculated values
DOS(E_F) ... 1.67 states/eV/cell
M_tot ... 1.3 μB per cell
Space-group type ... Cmmm
DFT formation energy ... 0.60 eV per atom
Final energy ... -61.63 eV/atom